Version one
This record from Alexandria via LeMat-Bulk describes a geometry-optimized SrTl3In structure. The functional is PBE.

Summary:
Volume: 38.894 A^3/atom
Space-group type: No. 221
Density: 6.96 g/cm³

Cell: 5.7936 5.7936 5.7936 Å, 90.00 90.00 90.00°
Closest atoms and distances in Å follow each position.
Fractional coordinates of all 5 atoms:
Sr  0.0000  0.0000  0.0000  12 Tl 4.10
Tl  0.0000  0.5000  0.5000  2 In 2.90
Tl  0.5000  0.0000  0.5000  2 In 2.90
Tl  0.5000  0.5000  0.0000  2 In 2.90
In  0.5000  0.5000  0.5000  6 Tl 2.90

=====

Version two
This record from Alexandria via LeMat-Bulk describes a geometry-optimized SrTl3In structure. The functional is PBE.

Summary:
Volume: 30.637 A^3/atom
Space-group type: No. 11
Density: 8.84 g/cm³

Cell: 5.0135 4.9766 12.5285 Å, 90.00 101.44 90.00°
Closest atoms and distances in Å follow each position.
Fractional coordinates of all 10 atoms:
Sr  0.1483  0.2500  0.2957  8 Tl 3.48-3.56, 4 In 3.55
Sr  0.8517  0.7500  0.7043  8 Tl 3.48-3.56, 4 In 3.55
Tl  0.0460  0.7500  0.0911  8 Tl 3.35-3.53, 2 Sr 3.54
Tl  0.2494  0.7500  0.4985  4 In 3.29-3.30, 4 Sr 3.52-3.56, 4 Tl 3.53
Tl  0.4500  0.7500  0.9016  8 Tl 3.41-3.53, 2 Sr 3.48-3.49, 2 In 3.73
Tl  0.5500  0.2500  0.0984  8 Tl 3.41-3.53, 2 Sr 3.48-3.49, 2 In 3.73
Tl  0.7506  0.2500  0.5015  4 In 3.29-3.30, 4 Sr 3.52-3.56, 4 Tl 3.53
Tl  0.9540  0.2500  0.9089  8 Tl 3.35-3.53, 2 Sr 3.54
In  0.3365  0.2500  0.6756  4 Tl 3.29-3.30, 4 Sr 3.55
In  0.6635  0.7500  0.3244  4 Tl 3.29-3.30, 4 Sr 3.55

=====

Winner for stability: version two

=====

Version one
This record from Alexandria via LeMat-Bulk describes a geometry-optimized SrTl3In structure. The functional is PBE.

Summary:
Volume: 48.158 A^3/atom
Space-group type: No. 221
Density: 5.62 g/cm³

Cell: 6.2213 6.2213 6.2213 Å, 90.00 90.00 90.00°
Closest atoms and distances in Å follow each position.
Fractional coordinates of all 5 atoms:
Sr  0.0000  0.0000  0.0000  6 Tl 3.11
Tl  0.0000  0.0000  0.5000  2 Sr 3.11
Tl  0.0000  0.5000  0.0000  2 Sr 3.11
Tl  0.5000  0.0000  0.0000  2 Sr 3.11
In  0.5000  0.5000  0.5000  12 Tl 4.40

=====

Version two
This record from Alexandria via LeMat-Bulk describes a geometry-optimized SrTl3In structure. The functional is PBE.

Summary:
Volume: 33.560 A^3/atom
Space-group type: No. 194
Density: 8.07 g/cm³

Cell: 7.8702 7.8702 6.2558 Å, 90.00 90.00 120.00°
Closest atoms and distances in Å follow each position.
Fractional coordinates of all 10 atoms:
Sr  0.3333  0.6667  0.2500  12 Tl 3.65-3.95
Sr  0.6667  0.3333  0.7500  12 Tl 3.65-3.95
Tl  0.1953  0.3907  0.7500  2 In 3.09, 2 Tl 3.26
Tl  0.1953  0.8047  0.7500  2 In 3.09, 2 Tl 3.26
Tl  0.3907  0.1953  0.2500  2 In 3.09, 2 Tl 3.26
Tl  0.6093  0.8047  0.7500  2 In 3.09, 2 Tl 3.26
Tl  0.8047  0.1953  0.2500  2 In 3.09, 2 Tl 3.26
Tl  0.8047  0.6093  0.2500  2 In 3.09, 2 Tl 3.26
In  0.0000  0.0000  0.0000  6 Tl 3.09, 2 In 3.13
In  0.0000  0.0000  0.5000  6 Tl 3.09, 2 In 3.13

=====

Winner for stability: version two